[1]
Entry from OQMD via LeMat-Bulk: a geometry-optimized CsOsO3 structure (PBE).

Unit cell a=6.9479 b=6.9479 c=16.1442 alpha=90.00 beta=90.00 gamma=120.00
Space group R-3c (No. 167, hexagonal axes)
Inequivalent atoms, fractional coordinates:
Cs  0.0000  0.0000  0.0000 (multiplicity 6)
Os  0.0000  0.0000  0.2500 (multiplicity 6)
O  0.0000  0.2516  0.2500 (multiplicity 18)

Properties
Final energy ... -6.495 eV per atom
Calculated volume ... 22.50 A^3/atom

=====

[2]
Entry from OQMD via LeMat-Bulk: a geometry-optimized CsOsO3 structure (PBE).

Unit cell a=5.6962 b=8.0453 c=5.6981 alpha=90.00 beta=90.00 gamma=90.00
Space group Pnma (No. 62)
Inequivalent atoms, fractional coordinates:
Cs  0.0005  0.2500  0.9995 (multiplicity 4)
Os  0.0000  0.0000  0.5000 (multiplicity 4)
O  0.0007  0.2500  0.4995 (multiplicity 4)
O  0.2503  0.0000  0.2504 (multiplicity 8)

Properties
Final energy ... -6.295 eV per atom
Calculated volume ... 13.06 A^3/atom

=====

[3]
Entry from OQMD via LeMat-Bulk: a geometry-optimized CsOsO3 structure (PBE).

Unit cell a=3.7290 b=3.7290 c=6.8180 alpha=90.00 beta=90.00 gamma=90.00
Space group P4mm (No. 99)
Inequivalent atoms, fractional coordinates:
Cs  0.0000  0.0000  0.0000 (multiplicity 1)
Os  0.5000  0.5000  0.3771 (multiplicity 1)
O  0.0000  0.0000  0.6533 (multiplicity 1)
O  0.0000  0.5000  0.3700 (multiplicity 2)

Properties
Final energy ... -5.680 eV per atom
Calculated volume ... 18.96 A^3/atom

=====

[4]
Entry from OQMD via LeMat-Bulk: a geometry-optimized CsOsO3 structure (PBE).

Unit cell a=3.8287 b=3.8287 c=5.3974 alpha=90.00 beta=90.00 gamma=90.00
Space group P4mm (No. 99)
Inequivalent atoms, fractional coordinates:
Cs  0.0000  0.0000  0.0000 (multiplicity 1)
Os  0.5000  0.5000  0.4969 (multiplicity 1)
O  0.0000  0.5000  0.5272 (multiplicity 2)
O  0.5000  0.5000  0.1493 (multiplicity 1)

Properties
Final energy ... -6.409 eV per atom
Calculated volume ... 15.82 A^3/atom